(1)
VASP calculation (GGA-PBE) on crystalline Cu3SiI at its relaxed geometry.

```
Cu3SiI
1.0
4.909 0.000 0.000
0.000 4.909 0.000
0.000 0.000 4.909
Cu Si I
3 1 1
direct
0.000 0.000 0.500
0.000 0.500 0.000
0.500 0.000 0.000
0.500 0.500 0.500
0.000 0.000 0.000
```

## Properties
Relative energy among the computed polymorphs (meV/atom): 802

---

(2)
VASP calculation (GGA-PBE) on crystalline CuSiI2 at its relaxed geometry.

```
CuSiI2
1.0
-3.685 3.685 4.370
3.685 -3.685 4.370
3.685 3.685 -4.370
Cu Si I
2 2 4
direct
0.000 0.000 0.000
0.750 0.250 0.500
0.250 0.750 0.500
0.500 0.500 0.000
0.086 0.625 0.961
0.375 0.336 0.461
0.664 0.125 0.039
0.875 0.914 0.539
```

## Properties
Relative energy among the computed polymorphs (meV/atom): 0

---

(3)
VASP calculation (GGA-PBE) on crystalline Cu2SiI at its relaxed geometry.

```
Cu2SiI
1.0
-3.073 3.073 4.850
3.073 -3.073 4.850
3.073 3.073 -4.850
Cu Si I
4 2 2
direct
0.078 0.625 0.953
0.375 0.328 0.453
0.672 0.125 0.047
0.875 0.922 0.547
0.000 0.000 0.000
0.750 0.250 0.500
0.250 0.750 0.500
0.500 0.500 0.000
```

## Properties
Relative energy among the computed polymorphs (meV/atom): 0

---

(4)
VASP calculation (GGA-PBE) on crystalline CuSiI2 at its relaxed geometry.

```
CuSiI2
1.0
0.000 3.653 3.653
3.653 0.000 3.653
3.653 3.653 0.000
Cu Si I
1 1 2
direct
0.000 0.000 0.000
0.500 0.500 0.500
0.250 0.250 0.250
0.750 0.750 0.750
```

## Properties
Relative energy among the computed polymorphs (meV/atom): 212

---

(5)
VASP calculation (GGA-PBE) on crystalline Cu2SiI at its relaxed geometry.

```
Cu2SiI
1.0
0.000 3.306 3.306
3.306 0.000 3.306
3.306 3.306 0.000
Cu Si I
2 1 1
direct
0.250 0.250 0.250
0.750 0.750 0.750
0.000 0.000 0.000
0.500 0.500 0.500
```

## Properties
Relative energy among the computed polymorphs (meV/atom): 486

---

(6)
VASP calculation (GGA-PBE) on crystalline CuSi3I at its relaxed geometry.

```
CuSi3I
1.0
4.693 0.000 0.000
0.000 4.693 0.000
0.000 0.000 4.693
Cu Si I
1 3 1
direct
0.000 0.000 0.000
0.000 0.000 0.500
0.000 0.500 0.000
0.500 0.000 0.000
0.500 0.500 0.500
```

## Properties
Relative energy among the computed polymorphs (meV/atom): 0

---

(7)
VASP calculation (GGA-PBE) on crystalline CuSi2I8 at its relaxed geometry.

```
CuSi2I8
1.0
7.029 -5.207 0.000
7.029 5.207 0.000
-0.082 0.000 7.217
Cu Si I
1 2 8
direct
0.000 0.000 0.000
0.190 0.190 0.331
0.810 0.810 0.669
0.085 0.704 0.826
0.161 0.161 0.673
0.296 0.915 0.174
0.364 0.364 0.265
0.636 0.636 0.735
0.704 0.085 0.826
0.839 0.839 0.327
0.915 0.296 0.174
```

---

(8)
VASP calculation (GGA-PBE) on crystalline CuSiI3 at its relaxed geometry.

```
CuSiI3
1.0
5.372 0.000 0.000
0.000 5.372 0.000
0.000 0.000 5.372
Cu Si I
1 1 3
direct
0.000 0.000 0.000
0.500 0.500 0.500
0.000 0.000 0.500
0.000 0.500 0.000
0.500 0.000 0.000
```

## Properties
Relative energy among the computed polymorphs (meV/atom): 38

---

(9)
VASP calculation (GGA-PBE) on crystalline CuSi2SnI at its relaxed geometry.

```
CuSi2SnI
1.0
5.167 0.000 0.000
0.000 5.167 0.000
0.000 0.000 6.041
Cu Si Sn I
1 2 1 1
direct
0.000 0.000 0.000
0.000 0.500 0.500
0.500 0.000 0.500
0.500 0.500 0.500
0.500 0.500 0.000
```

---

(10)
VASP calculation (GGA-PBE) on crystalline CuSiTe2I at its relaxed geometry.

```
CuSiTe2I
1.0
5.294 0.000 0.000
0.000 5.294 0.000
0.000 0.000 5.502
Cu Si Te I
1 1 2 1
direct
0.000 0.000 0.000
0.500 0.500 0.500
0.000 0.500 0.500
0.500 0.000 0.500
0.500 0.500 0.000
```

## Properties
Relative energy among the computed polymorphs (meV/atom): 63

---

(11)
VASP calculation (GGA-PBE) on crystalline CuSiTe2I at its relaxed geometry.

```
CuSiTe2I
1.0
5.195 0.000 0.000
0.000 5.195 0.000
0.000 0.000 5.200
Cu Si Te I
1 1 2 1
direct
0.000 0.000 0.000
0.500 0.500 0.500
0.000 0.500 0.000
0.500 0.000 0.000
0.000 0.000 0.500
```

## Properties
Relative energy among the computed polymorphs (meV/atom): 0

---

(12)
VASP calculation (GGA-PBE) on crystalline ZnCuSiI2 at its relaxed geometry.

```
ZnCuSiI2
1.0
5.775 0.000 0.000
0.000 5.775 0.000
0.000 0.000 4.488
Zn Cu Si I
1 1 1 2
direct
0.000 0.000 0.000
0.500 0.500 0.000
0.500 0.500 0.500
0.000 0.500 0.500
0.500 0.000 0.500
```

---

Calculated values (eV/f.u.) of formation energy (no corrections) for the records, taken in order: 6.7, 1.8, 1.4, 2.6, 3.3, 3.9, -1.7, 2.6, 6.7, 3.5, 3.2, 1.9.